The following is a DFT calculation (SCAN) of TeSe2Cl at its PBEsol-relaxed geometry.

- Formation energy without anion corrections: 0.02 eV per atom
- Total magnetic moment: 0.00 μB per formula unit
- Uncorrected energy: -21.329 eV per atom

Cell: 3.8570 3.8570 25.8100 Å, 90.00 90.00 120.00°
Space group R-3m (No. 166, hexagonal axes)
One atom of each set of equivalent atoms:
Te1 0.0000 0.0000 0.0000
Se1 0.0000 0.0000 0.4029
Cl1 0.0000 0.0000 0.5000

The following is a DFT calculation (SCAN) of ZrTaIn2 at its PBEsol-relaxed geometry.

- Energy relative to the elements: 0.045 eV per formula unit
- Total magnetic moment: 0.00 μB per formula unit
- Uncorrected energy: -41.002 eV per atom

Cell: 10.051 3.101 5.371 Å, 90.00 100.50 90.00°
Space group C2/m (No. 12)
One atom of each set of equivalent atoms:
Zr1 0.000 0.000 0.000
Ta1 0.000 0.500 0.500
In1 0.247 0.000 0.740

| no. | offset from the most stable computed form (kJ per mole of atoms) |
| --- | --- |
| 1 | 0.0 |
| 2 | 15.7 |